Below is an optimized crystal structure of Rb3Ho3VO8, with properties calculated at the GGA+U level.

## Properties
DOS(E_F) ... 0.00 states/eV/atom
Calculated total energy ... -6.830 eV/atom

Unit cell a=6.7378 b=6.7329 c=7.6514 alpha=116.12 beta=90.00 gamma=120.02
Last column: nearest neighbours and their distance in Å.
Atoms (fractional coordinates):
V  0.0000  0.0000  0.5000  6 O 2.04-2.05
O  0.2029  0.4058  0.6595  1 V 2.04
O  0.2757  0.5515  0.3276  3 Ho 2.25
O  0.7243  0.4485  0.6724  3 Ho 2.25
O  0.2039  0.9563  0.6602  1 V 2.05
O  0.7524  0.9563  0.6602  1 V 2.05
O  0.7971  0.5942  0.3405  1 V 2.04
O  0.2476  0.0437  0.3398  1 V 2.05
O  0.7961  0.0437  0.3398  1 V 2.05
Rb  0.5000  0.5000  0.0000  6 O 2.91
Rb  0.0000  0.0000  0.0000  6 O 2.90-2.91
Rb  0.0000  0.5000  0.0000  6 O 2.91
Ho  0.0000  0.5000  0.5000  6 O 2.25-2.30
Ho  0.5000  0.5000  0.5000  6 O 2.25-2.30
Ho  0.5000  0.0000  0.5000  6 O 2.25-2.30